(a)
A geometry-optimized LaOs2F structure. Source: Alexandria, functional PBE-GGA.

Cell: 8.748 8.748 8.748 Å, 148.95 148.95 44.48°
Sites, in units of the cell vectors:
La 0.000 0.000 0.000
La 0.750 0.250 0.500
Os 0.333 0.125 0.708
Os 0.375 0.667 0.792
Os 0.417 0.625 0.292
Os 0.875 0.583 0.208
F 0.250 0.750 0.500
F 0.500 0.500 0.000

total magnetic moment	0.000	μB/f.u.


(b)
A geometry-optimized LaOs2F structure. Source: Alexandria, functional PBE-GGA.

Cell: 4.647 4.647 4.647 Å, 60.00 60.00 60.00°
Sites, in units of the cell vectors:
La 0.000 0.000 0.000
Os 0.250 0.250 0.250
Os 0.750 0.750 0.750
F 0.500 0.500 0.500

total magnetic moment	2.257	μB/f.u.


Quick look at relative energies in meV per atom: (a) 0; (b) 609.


(a)
A geometry-optimized LaOsF2 structure. Source: Alexandria, functional PBE-GGA.

Cell: 4.645 4.645 4.645 Å, 58.66 58.66 58.66°
Sites, in units of the cell vectors:
La 0.000 0.000 0.000
Os 0.500 0.500 0.500
F 0.222 0.222 0.222
F 0.778 0.778 0.778

total magnetic moment	3.000	μB/f.u.


(b)
A geometry-optimized LaOsF2 structure. Source: Alexandria, functional PBE-GGA.

Cell: 8.545 8.545 8.545 Å, 151.71 151.71 40.44°
Sites, in units of the cell vectors:
La 0.000 0.000 0.000
La 0.750 0.250 0.500
Os 0.250 0.750 0.500
Os 0.500 0.500 0.000
F 0.165 0.625 0.040
F 0.375 0.415 0.540
F 0.585 0.125 0.960
F 0.875 0.835 0.460

total magnetic moment	1.141	μB/f.u.


(c)
A geometry-optimized LaOsF2 structure. Source: Alexandria, functional PBE-GGA.

Cell: 8.025 8.025 8.025 Å, 22.01 22.01 22.01°
Sites, in units of the cell vectors:
La 0.000 0.000 0.000
Os 0.500 0.500 0.500
F 0.410 0.410 0.410
F 0.590 0.590 0.590

total magnetic moment	0.972	μB/f.u.


Quick look at relative energies in meV per atom: (a) 73; (b) 0; (c) 31.


(a)
A geometry-optimized La2PF structure. Source: Alexandria, functional PBE-GGA.

Cell: 7.343 7.343 7.343 Å, 31.42 31.42 31.42°
Sites, in units of the cell vectors:
La 0.000 0.000 0.000
La 0.174 0.174 0.174
P 0.587 0.587 0.587
F 0.759 0.759 0.759

total magnetic moment	0.000	μB/f.u.


(b)
A geometry-optimized La2PF structure. Source: Alexandria, functional PBE-GGA.

Cell: 4.955 4.955 4.955 Å, 60.00 60.00 60.00°
Sites, in units of the cell vectors:
La 0.250 0.250 0.250
La 0.750 0.750 0.750
P 0.000 0.000 0.000
F 0.500 0.500 0.500

total magnetic moment	0.000	μB/f.u.


Quick look at relative energies in meV per atom: (a) 0; (b) 172.


(a)
A geometry-optimized La2PF structure. Source: Alexandria, functional PBE-GGA.

Cell: 7.630 7.630 7.630 Å, 131.97 131.97 70.27°
Sites, in units of the cell vectors:
La 0.102 0.625 0.977
La 0.375 0.352 0.477
La 0.648 0.125 0.023
La 0.875 0.898 0.523
P 0.250 0.750 0.500
P 0.500 0.500 0.000
F 0.000 0.000 0.000
F 0.750 0.250 0.500

total magnetic moment	1.913	μB/f.u.


(b)
A geometry-optimized La2PF structure. Source: Alexandria, functional PBE-GGA.

Cell: 6.760 6.760 6.760 Å, 35.13 35.13 35.13°
Sites, in units of the cell vectors:
La 0.247 0.247 0.247
La 0.753 0.753 0.753
P 0.000 0.000 0.000
F 0.500 0.500 0.500

total magnetic moment	0.000	μB/f.u.


Quick look at relative energies in meV per atom: (a) 388; (b) 0.


(a)
A geometry-optimized LaPbF3 structure. Source: Alexandria, functional PBE-GGA.

Cell: 4.811 4.811 4.811 Å, 90.00 90.00 90.00°
Sites, in units of the cell vectors:
La 0.000 0.000 0.000
Pb 0.500 0.500 0.500
F 0.000 0.500 0.500
F 0.500 0.000 0.500
F 0.500 0.500 0.000

total magnetic moment	1.836	μB/f.u.


(b)
A geometry-optimized LaPbF3 structure. Source: Alexandria, functional PBE-GGA.

Cell: 4.772 4.772 4.772 Å, 90.00 90.00 90.00°
Sites, in units of the cell vectors:
La 0.000 0.000 0.000
Pb 0.500 0.500 0.500
F 0.000 0.000 0.500
F 0.000 0.500 0.000
F 0.500 0.000 0.000

total magnetic moment	0.000	μB/f.u.


Quick look at relative energies in meV per atom: (a) 852; (b) 0.


(a)
A geometry-optimized LaPbF2 structure. Source: Alexandria, functional PBE-GGA.

Cell: 9.181 9.181 9.181 Å, 22.79 22.79 22.79°
Sites, in units of the cell vectors:
La 0.000 0.000 0.000
Pb 0.500 0.500 0.500
F 0.083 0.083 0.083
F 0.917 0.917 0.917

total magnetic moment	0.000	μB/f.u.


(b)
A geometry-optimized LaPbF2 structure. Source: Alexandria, functional PBE-GGA.

Cell: 7.791 7.791 7.791 Å, 135.74 135.74 64.38°
Sites, in units of the cell vectors:
La 0.000 0.000 0.000
La 0.750 0.250 0.500
Pb 0.250 0.750 0.500
Pb 0.500 0.500 0.000
F 0.375 0.212 0.337
F 0.788 0.125 0.163
F 0.875 0.038 0.663
F 0.962 0.625 0.837

total magnetic moment	0.000	μB/f.u.


Quick look at relative energies in meV per atom: (a) 415; (b) 0.


(a)
A geometry-optimized LaPbF2 structure. Source: Alexandria, functional PBE-GGA.

Cell: 7.388 7.388 7.388 Å, 32.57 32.57 32.57°
Sites, in units of the cell vectors:
La 0.000 0.000 0.000
Pb 0.500 0.500 0.500
F 0.350 0.350 0.350
F 0.650 0.650 0.650

total magnetic moment	0.000	μB/f.u.


(b)
A geometry-optimized LaPbF2 structure. Source: Alexandria, functional PBE-GGA.

Cell: 4.820 4.820 4.820 Å, 60.00 60.00 60.00°
Sites, in units of the cell vectors:
La 0.000 0.000 0.000
Pb 0.500 0.500 0.500
F 0.250 0.250 0.250
F 0.750 0.750 0.750

total magnetic moment	0.004	μB/f.u.


Quick look at relative energies in meV per atom: (a) 0; (b) 677.


(a)
A geometry-optimized La2PbF2 structure. Source: Alexandria, functional PBE-GGA.

Cell: 7.504 7.504 7.504 Å, 148.43 148.43 45.24°
Sites, in units of the cell vectors:
La 0.136 0.136 0.000
La 0.864 0.864 0.000
Pb 0.500 0.500 0.000
F 0.250 0.750 0.500
F 0.750 0.250 0.500

total magnetic moment	0.000	μB/f.u.


(b)
A geometry-optimized La2PbF2 structure. Source: Alexandria, functional PBE-GGA.

Cell: 7.885 6.819 6.788 Å, 70.83 54.77 54.40°
Sites, in units of the cell vectors:
La 0.086 0.664 0.086
La 0.336 0.914 0.336
La 0.664 0.086 0.664
La 0.914 0.336 0.914
Pb 0.375 0.375 0.375
Pb 0.625 0.625 0.625
F 0.005 0.005 0.245
F 0.245 0.245 0.005
F 0.755 0.755 0.995
F 0.995 0.995 0.755

total magnetic moment	0.000	μB/f.u.


Quick look at relative energies in meV per atom: (a) 0; (b) 95.


(a)
A geometry-optimized La2PdF structure. Source: Alexandria, functional PBE-GGA.

Cell: 7.748 7.748 7.748 Å, 134.70 134.70 66.00°
Sites, in units of the cell vectors:
La 0.082 0.625 0.957
La 0.375 0.332 0.457
La 0.668 0.125 0.043
La 0.875 0.918 0.543
Pd 0.250 0.750 0.500
Pd 0.500 0.500 0.000
F 0.000 0.000 0.000
F 0.750 0.250 0.500

total magnetic moment	0.000	μB/f.u.


(b)
A geometry-optimized La2PdF structure. Source: Alexandria, functional PBE-GGA.

Cell: 5.062 5.062 5.062 Å, 60.00 60.00 60.00°
Sites, in units of the cell vectors:
La 0.250 0.250 0.250
La 0.750 0.750 0.750
Pd 0.000 0.000 0.000
F 0.500 0.500 0.500

total magnetic moment	0.000	μB/f.u.


Quick look at relative energies in meV per atom: (a) 0; (b) 178.


(a)
A geometry-optimized La2PdF structure. Source: Alexandria, functional PBE-GGA.

Cell: 6.725 6.725 6.725 Å, 36.49 36.49 36.49°
Sites, in units of the cell vectors:
La 0.243 0.243 0.243
La 0.757 0.757 0.757
Pd 0.000 0.000 0.000
F 0.500 0.500 0.500

total magnetic moment	0.000	μB/f.u.


(b)
A geometry-optimized La2PdF structure. Source: Alexandria, functional PBE-GGA.

Cell: 8.340 8.340 8.340 Å, 28.80 28.80 28.80°
Sites, in units of the cell vectors:
La 0.000 0.000 0.000
La 0.187 0.187 0.187
Pd 0.600 0.600 0.600
F 0.823 0.823 0.823

total magnetic moment	0.700	μB/f.u.


Quick look at relative energies in meV per atom: (a) 0; (b) 76.


(a)
A geometry-optimized LaPdF2 structure. Source: Alexandria, functional PBE-GGA.

Cell: 5.899 5.899 5.899 Å, 40.39 40.39 40.39°
Sites, in units of the cell vectors:
La 0.000 0.000 0.000
Pd 0.500 0.500 0.500
F 0.299 0.299 0.299
F 0.701 0.701 0.701

total magnetic moment	0.000	μB/f.u.


(b)
A geometry-optimized LaPdF2 structure. Source: Alexandria, functional PBE-GGA.

Cell: 4.466 4.466 4.466 Å, 60.00 60.00 60.00°
Sites, in units of the cell vectors:
La 0.000 0.000 0.000
Pd 0.500 0.500 0.500
F 0.250 0.250 0.250
F 0.750 0.750 0.750

total magnetic moment	0.000	μB/f.u.


Quick look at relative energies in meV per atom: (a) 0; (b) 200.


(a)
A geometry-optimized LaPd3F structure. Source: Alexandria, functional PBE-GGA.

Cell: 4.543 4.543 4.543 Å, 90.00 90.00 90.00°
Sites, in units of the cell vectors:
La 0.000 0.000 0.000
Pd 0.000 0.500 0.500
Pd 0.500 0.000 0.500
Pd 0.500 0.500 0.000
F 0.500 0.500 0.500

total magnetic moment	0.000	μB/f.u.


(b)
A geometry-optimized LaPd3F structure. Source: Alexandria, functional PBE-GGA.

Cell: 5.210 5.210 5.210 Å, 90.00 90.00 90.00°
Sites, in units of the cell vectors:
La 0.000 0.000 0.000
Pd 0.000 0.000 0.500
Pd 0.000 0.500 0.000
Pd 0.500 0.000 0.000
F 0.500 0.500 0.500

total magnetic moment	0.000	μB/f.u.


Quick look at relative energies in meV per atom: (a) 0; (b) 958.